Here is a relaxed AcTlH2F6 crystal from Alexandria. Energies are from PBE.

As for the density of states at the Fermi level: 0.00 states/eV/f.u. For the total DFT energy (no corrections), the calculation gives -0.1891 Ha/atom. Its mass density is 6.3 g/cm³.

The space group is C2/c (No. 15) and the conventional cell measures 9.221, 9.623 and 7.958 Å, with angles of 90.00, 124.97 and 90.00 degrees. The distinct sites, in fractional coordinates, are Ac at (0.000, 0.093, 0.250), Tl at (0.000, 0.345, 0.750), H at (0.200, 0.402, 0.233), F at (0.066, 0.116, 0.978), F at (0.201, 0.320, 0.338) and F at (0.201, 0.487, 0.132).